(1)
Entry from Alexandria via LeMat-Bulk: an optimized crystal structure of TbHo12Er5 (PBE-GGA).

Results
The total magnetic moment is 0.000 μB/f.u. For the density of states at the Fermi level, the calculation gives 1.270 states/eV/atom. As for the volume: 550.9 Å³/cell. For the calculated formation energy, the calculation gives 0.178 eV per formula unit.

Cell: 6.1024 6.1020 17.2016 Å, 86.64 83.26 60.00°
Fractional coordinates of all 18 atoms:
Tb 0.0000 0.0000 0.0000
Ho 0.8885 0.0000 0.3328
Ho 0.1115 0.0000 0.6672
Ho 0.7224 0.0000 0.8335
Ho 0.2776 0.0000 0.1665
Ho 0.3899 0.6663 0.8335
Ho 0.9438 0.6663 0.1665
Ho 0.0562 0.3337 0.8335
Ho 0.6101 0.3337 0.1665
Ho 0.4448 0.3333 0.6672
Ho 0.7782 0.6667 0.6672
Ho 0.2218 0.3333 0.3328
Ho 0.5552 0.6667 0.3328
Er 0.5000 0.0000 0.5000
Er 0.1666 0.6668 0.5000
Er 0.8334 0.3332 0.5000
Er 0.6667 0.6667 0.0000
Er 0.3333 0.3333 0.0000

---

(2)
Entry from Alexandria via LeMat-Bulk: an optimized crystal structure of TmInNiRu (PBE-GGA).

Results
The total magnetic moment is 0.000 μB/f.u. For the density of states at the Fermi level, the calculation gives 0.160 states/eV/atom. As for the volume: 69.1 Å³/cell. The distance to the lowest polymorph of the same formula is 0.00 eV per formula unit. For the calculated formation energy, the calculation gives -1.394 eV per formula unit.

Cell: 3.4546 4.4382 4.5074 Å, 90.00 90.00 90.00°
Fractional coordinates of all 4 atoms:
Tm 0.5000 0.0000 0.5000
In 0.5000 0.5000 0.0000
Ni 0.0000 0.0000 0.0000
Ru 0.0000 0.5000 0.5000

---

(3)
Entry from Alexandria via LeMat-Bulk: an optimized crystal structure of Tb5ErTm8 (PBE-GGA).

Results
The total magnetic moment is 0.000 μB/f.u. For the density of states at the Fermi level, the calculation gives 1.389 states/eV/atom. As for the volume: 443.9 Å³/cell. For the calculated formation energy, the calculation gives 3.553 eV per formula unit.

Cell: 8.3274 8.3274 8.3274 Å, 110.78 106.88 110.78°
Fractional coordinates of all 14 atoms:
Tb 0.0334 0.3247 0.1346
Tb 0.8654 0.8989 0.1901
Tb 0.8099 0.6753 0.7088
Tb 0.5000 0.0000 0.5000
Tb 0.2912 0.1011 0.9666
Er 0.2500 0.5000 0.7500
Tm 0.1621 0.7378 0.0783
Tm 0.9217 0.0837 0.6594
Tm 0.7322 0.2540 0.3366
Tm 0.6634 0.3956 0.9175
Tm 0.5219 0.6044 0.2678
Tm 0.5757 0.9163 0.8379
Tm 0.3406 0.2622 0.4243
Tm 0.0825 0.7460 0.4781

---

(4)
Entry from Alexandria via LeMat-Bulk: an optimized crystal structure of KTa2In (PBE-GGA).

Results
The total magnetic moment is 0.000 μB/f.u. For the density of states at the Fermi level, the calculation gives 0.589 states/eV/atom. As for the volume: 88.0 Å³/cell. For the calculated formation energy, the calculation gives 4.524 eV per formula unit.

Cell: 4.9906 4.9906 4.9906 Å, 119.92 119.92 90.13°
Fractional coordinates of all 4 atoms:
In 0.5000 0.5000 0.0000
K 0.7500 0.2500 0.5000
Ta 0.0000 0.0000 0.0000
Ta 0.2500 0.7500 0.5000

---

Look up the total magnetic moment of the fourth one. 0.000 μB/f.u.